1.
Computed, not measured: a relaxed structure of Mo2PdAu at the PBEsol level of DFT.

Cell lengths 4.4604, 4.4604, 4.4604 Å; angles 60.00, 60.00, 60.00 degrees
Last column: nearest neighbours and their distance in Å.
Fractional coordinates of all 4 atoms:
1 Au 0.5000 0.5000 0.5000  8 Mo 2.73
2 Mo 0.2500 0.2500 0.2500  4 Au 2.73, 4 Pd 2.73
3 Mo 0.7500 0.7500 0.7500  4 Pd 2.73, 4 Au 2.73
4 Pd 0.0000 0.0000 0.0000  8 Mo 2.73

Calculated values
**E**: -7.8213 eV/atom
**N(E_F)**: 1.7242 states/eV per atom
**M_tot**: 0.004 μB/cell
**Formation enthalpy at 0 K**: 0.533 eV per atom

---

2.
Computed, not measured: a relaxed structure of MoPdAu2 at the PBEsol level of DFT.

Cell lengths 4.4728, 4.4728, 4.4728 Å; angles 60.00, 60.00, 60.00 degrees
Last column: nearest neighbours and their distance in Å.
Fractional coordinates of all 4 atoms:
1 Au 0.2500 0.2500 0.2500  4 Pd 2.74, 4 Mo 2.74
2 Au 0.7500 0.7500 0.7500  4 Mo 2.74, 4 Pd 2.74
3 Pd 0.5000 0.5000 0.5000  8 Au 2.74
4 Mo 0.0000 0.0000 0.0000  8 Au 2.74

Calculated values
**E**: -6.1959 eV/atom
**N(E_F)**: 0.4604 states/eV per atom
**M_tot**: 0.000 μB/cell
**Formation enthalpy at 0 K**: 0.198 eV per atom

---

3.
Computed, not measured: a relaxed structure of TlMoPd2Au at the PBEsol level of DFT.

Cell lengths 4.9291, 4.9291, 4.9758 Å; angles 90.00, 90.00, 90.00 degrees
Last column: nearest neighbours and their distance in Å.
Fractional coordinates of all 5 atoms:
1 Tl 0.0000 0.0000 0.5000  2 Au 2.49
2 Au 0.0000 0.0000 0.0000  4 Pd 2.46, 2 Tl 2.49
3 Pd 0.5000 0.0000 0.0000  2 Au 2.46
4 Pd 0.0000 0.5000 0.0000  2 Au 2.46
5 Mo 0.5000 0.5000 0.5000  4 Tl 3.49, 8 Pd 3.50

Calculated values
**E**: -4.5298 eV/atom
**N(E_F)**: 0.6234 states/eV per atom
**M_tot**: 4.128 μB/cell
**Formation enthalpy at 0 K**: 1.518 eV per atom

---

4.
Computed, not measured: a relaxed structure of MoPtAu2 at the PBEsol level of DFT.

Cell lengths 3.8468, 4.0988, 4.0988 Å; angles 90.00, 90.00, 90.00 degrees
Last column: nearest neighbours and their distance in Å.
Fractional coordinates of all 4 atoms:
1 Au 0.0000 0.0000 0.5000  4 Mo 2.81, 4 Pt 2.81, 4 Au 2.90
2 Au 0.0000 0.5000 0.0000  4 Mo 2.81, 4 Pt 2.81, 4 Au 2.90
3 Mo 0.5000 0.5000 0.5000  8 Au 2.81, 4 Pt 2.90
4 Pt 0.5000 0.0000 0.0000  8 Au 2.81, 4 Mo 2.90

Calculated values
**E**: -6.2872 eV/atom
**N(E_F)**: 1.3242 states/eV per atom
**M_tot**: 2.462 μB/cell
**E above lowest polymorph**: 134 meV/atom
**Formation enthalpy at 0 K**: 0.358 eV per atom

---

5.
Computed, not measured: a relaxed structure of Mo2PtAu at the PBEsol level of DFT.

Cell lengths 2.7759, 4.7835, 4.9093 Å; angles 108.93, 90.00, 90.00 degrees
Last column: nearest neighbours and their distance in Å.
Fractional coordinates of all 4 atoms:
1 Au 0.0000 0.5000 0.5000  4 Pt 2.77, 2 Au 2.78, 6 Mo 2.82
2 Mo 0.5000 0.5000 0.0000  6 Mo 2.77-2.78, 2 Pt 2.82, 4 Au 2.82
3 Mo 0.0000 0.0000 0.0000  6 Mo 2.77-2.78, 2 Au 2.82, 4 Pt 2.82
4 Pt 0.5000 0.0000 0.5000  4 Au 2.77, 2 Pt 2.78, 6 Mo 2.82

Calculated values
**E**: -8.4834 eV/atom
**N(E_F)**: 1.0560 states/eV per atom
**M_tot**: 0.000 μB/cell
**E above lowest polymorph**: 148 meV/atom
**Formation enthalpy at 0 K**: 0.122 eV per atom

---

6.
Computed, not measured: a relaxed structure of Mo2PtAu at the PBEsol level of DFT.

Cell lengths 4.4570, 4.4570, 4.4570 Å; angles 60.00, 60.00, 60.00 degrees
Last column: nearest neighbours and their distance in Å.
Fractional coordinates of all 4 atoms:
1 Mo 0.0000 0.0000 0.0000  4 Pt 2.73, 4 Mo 2.73
2 Mo 0.7500 0.7500 0.7500  4 Au 2.73, 4 Mo 2.73
3 Au 0.5000 0.5000 0.5000  4 Mo 2.73, 4 Pt 2.73
4 Pt 0.2500 0.2500 0.2500  4 Mo 2.73, 4 Au 2.73

Calculated values
**E**: -8.3595 eV/atom
**N(E_F)**: 1.2004 states/eV per atom
**M_tot**: 0.000 μB/cell
**E above lowest polymorph**: 272 meV/atom
**Formation enthalpy at 0 K**: 0.246 eV per atom

---

7.
Computed, not measured: a relaxed structure of Mo2PtAu at the PBEsol level of DFT.

Cell lengths 2.7289, 2.7289, 8.3585 Å; angles 90.00, 90.00, 90.00 degrees
Last column: nearest neighbours and their distance in Å.
Fractional coordinates of all 4 atoms:
1 Au 0.5000 0.5000 0.7520  4 Au 2.73, 4 Mo 2.83, 4 Pt 2.95
2 Pt 0.0000 0.0000 0.4853  4 Mo 2.68, 4 Pt 2.73, 4 Au 2.95
3 Mo 0.0000 0.0000 0.9998  8 Mo 2.73-2.93, 4 Au 2.83
4 Mo 0.5000 0.5000 0.2628  4 Pt 2.68, 8 Mo 2.73-2.93

Calculated values
**E**: -8.6319 eV/atom
**N(E_F)**: 0.5184 states/eV per atom
**M_tot**: 0.000 μB/cell
**E above lowest polymorph**: 0 meV/atom
**Formation enthalpy at 0 K**: -0.026 eV per atom

---

8.
Computed, not measured: a relaxed structure of MoPtAu at the PBEsol level of DFT.

Cell lengths 4.2899, 4.2899, 4.2899 Å; angles 60.00, 60.00, 60.00 degrees
Last column: nearest neighbours and their distance in Å.
Fractional coordinates of all 3 atoms:
1 Au 0.5000 0.5000 0.5000  4 Mo 2.63
2 Pt 0.0000 0.0000 0.0000  4 Mo 2.63
3 Mo 0.2500 0.2500 0.2500  4 Pt 2.63, 4 Au 2.63

Calculated values
**E**: -6.9899 eV/atom
**N(E_F)**: 1.5327 states/eV per atom
**M_tot**: 0.004 μB/cell
**Formation enthalpy at 0 K**: 0.562 eV per atom